No. 1
Here is a relaxed structure of AlPO4 from Alexandria via LeMat-Bulk. Energies are from PBEsol.

Calculated values
ΔE_f (raw): -2619 meV per atom
N(E_F): 0.0 states/eV/f.u.
E: -7.766 eV per atom

abc: 6.1473 7.5460 8.6047
angles: 97.97 104.68 102.12
Closest atoms and distances in Å follow each position.
Space group P-1 (No. 2)
Unique sites:
Al: 0.0180 0.1991 0.4804 [2 per cell]  5 O 1.79-1.98
Al: 0.2383 0.8098 0.0816 [2 per cell]  5 O 1.84-2.02
Al: 0.4685 0.3954 0.7107 [2 per cell]  5 O 1.76-1.95
P: 0.0101 0.5072 0.7602 [2 per cell]  4 O 1.50-1.58
P: 0.2000 0.0962 0.8435 [2 per cell]  4 O 1.51-1.60
P: 0.4770 0.1978 0.3697 [2 per cell]  4 O 1.51-1.61
O: 0.0539 0.3584 0.3456 [2 per cell]  1 P 1.50
O: 0.0620 0.0322 0.6541 [2 per cell]  1 P 1.59
O: 0.0673 0.2002 0.9324 [2 per cell]  1 P 1.51
O: 0.1393 0.3810 0.6741 [2 per cell]  1 P 1.58
O: 0.1724 0.5929 0.9288 [2 per cell]  1 P 1.50
O: 0.2244 0.6230 0.2339 [2 per cell]  1 P 1.58
O: 0.2613 0.9361 0.9155 [2 per cell]  1 P 1.51
O: 0.2798 0.8056 0.5381 [2 per cell]  1 P 1.51
O: 0.3421 0.0198 0.2494 [2 per cell]  1 P 1.51
O: 0.3552 0.2297 0.5122 [2 per cell]  1 P 1.61
O: 0.4404 0.2329 0.8511 [2 per cell]  1 P 1.60
O: 0.4767 0.3655 0.2868 [2 per cell]  1 P 1.54



No. 2
Here is a relaxed structure of AlP3O9 from Alexandria via LeMat-Bulk. Energies are from PBEsol.

Calculated values
ΔE_f (raw): -2386 meV per atom
N(E_F): 0.0 states/eV/f.u.
E: -7.672 eV per atom

abc: 6.1218 15.1713 8.2374
angles: 90.00 105.11 90.00
Closest atoms and distances in Å follow each position.
Space group P2_1/c (No. 14)
Unique sites:
Al: 0.1151 0.1380 0.3763 [4 per cell]  6 O 1.86-1.90
P: 0.1451 0.0441 0.7173 [4 per cell]  4 O 1.49-1.61
P: 0.2017 0.1628 0.0166 [4 per cell]  4 O 1.48-1.61
P: 0.4152 0.6130 0.2099 [4 per cell]  4 O 1.49-1.61
O: 0.0556 0.0154 0.3393 [4 per cell]  1 P 1.50
O: 0.0656 0.1541 0.1421 [4 per cell]  1 P 1.49
O: 0.1499 0.0766 0.9018 [4 per cell]  2 P 1.59-1.60
O: 0.1651 0.1216 0.6102 [4 per cell]  1 P 1.49
O: 0.1741 0.2419 0.9072 [4 per cell]  1 P 1.48
O: 0.1936 0.6582 0.1451 [4 per cell]  1 P 1.49
O: 0.3752 0.5120 0.2536 [4 per cell]  2 P 1.61
O: 0.4224 0.1153 0.3970 [4 per cell]  1 P 1.49
O: 0.4668 0.1523 0.1072 [4 per cell]  2 P 1.61



No. 3
Here is a relaxed structure of AlP3O from Alexandria via LeMat-Bulk. Energies are from PBEsol.

Calculated values
ΔE_f (raw): 348 meV per atom
N(E_F): 2.3 states/eV/f.u.
E: -4.995 eV per atom

abc: 4.0885 4.0885 4.0885
angles: 90.00 90.00 90.00
Closest atoms and distances in Å follow each position.
Space group Pm-3m (No. 221)
Unique sites:
Al: 0.0000 0.0000 0.0000 [1 per cell]  12 P 2.89
P: 0.0000 0.5000 0.5000 [3 per cell]  2 O 2.04
O: 0.5000 0.5000 0.5000 [1 per cell]  6 P 2.04



No. 4
Here is a relaxed structure of AlP3O9 from Alexandria via LeMat-Bulk. Energies are from PBEsol.

Calculated values
ΔE_f (raw): -2378 meV per atom
N(E_F): 0.0 states/eV/f.u.
E: -7.663 eV per atom

abc: 13.8111 13.8111 13.8111
angles: 90.00 90.00 90.00
Closest atoms and distances in Å follow each position.
Space group I-43d (No. 220)
Unique sites:
Al: 0.1059 0.1059 0.1059 [16 per cell]  6 O 1.88
P: 0.0478 0.1195 0.3307 [48 per cell]  4 O 1.48-1.61
O: 0.0176 0.3620 0.0596 [48 per cell]  1 P 1.48
O: 0.0189 0.3996 0.6737 [48 per cell]  1 P 1.49
O: 0.0644 0.3513 0.3410 [48 per cell]  2 P 1.60-1.61